AlNiNO2, optimized geometry, DFT GGA+U; E_tot = -23.6 eV/f.u.; DOS at the Fermi energy = 2.40 states/eV per cell
1.0
-2.2938 -1.8150 2.1595
1.3622 -3.1499 -1.2005
2.5563 0.0535 2.7603
Ni Al O N
1 1 2 1
direct
0.0000 0.0000 0.0000
0.5000 0.5000 0.5000
0.0000 0.5000 0.0000
0.5000 0.0000 0.0000
0.0000 0.0000 0.5000